# 1
Density functional theory data (PBE) for a relaxed EuLu2Be crystal.

Cell: 3.419 3.419 8.915 Å, 90.00 90.00 90.00°
Space group P4/mmm (No. 123)
Unique sites:
1 Eu 0.000 0.000 0.000 (multiplicity 1)
2 Lu 0.500 0.500 0.322 (multiplicity 2)
3 Be 0.000 0.000 0.500 (multiplicity 1)

Results
The volume is 26.1 Å³/atom. The calculation puts the density of states at the Fermi level at 4.21 states/eV/f.u. As for the total energy: -5.66 eV/atom. The magnetization comes out at 7.6 μB/f.u. The energy of formation is 0.4 eV/f.u.

# 2
Density functional theory data (PBE) for a relaxed Rb2P crystal.

Cell: 8.526 5.392 10.632 Å, 90.00 90.00 90.00°
Space group Pnma (No. 62)
Unique sites:
1 Rb 0.028 0.250 0.172 (multiplicity 4)
2 Rb 0.152 0.250 0.567 (multiplicity 4)
3 P 0.250 0.250 0.878 (multiplicity 4)

Results
The volume is 40.7 Å³/atom. The calculation puts the density of states at the Fermi level at 4.28 states/eV/f.u. As for the total energy: -2.46 eV/atom. The magnetization comes out at 1.0 μB/f.u. The energy of formation is 0.0 eV/f.u.

- energy of formation of number 1 (EuLu2Be)?
  0.4 eV/f.u.

Please write out number 2 again, unchanged.
Density functional theory data (PBE) for a relaxed Rb2P crystal.

Cell: 8.526 5.392 10.632 Å, 90.00 90.00 90.00°
Space group Pnma (No. 62)
Unique sites:
1 Rb 0.028 0.250 0.172 (multiplicity 4)
2 Rb 0.152 0.250 0.567 (multiplicity 4)
3 P 0.250 0.250 0.878 (multiplicity 4)

Results
The volume is 40.7 Å³/atom. The calculation puts the density of states at the Fermi level at 4.28 states/eV/f.u. As for the total energy: -2.46 eV/atom. The magnetization comes out at 1.0 μB/f.u. The energy of formation is 0.0 eV/f.u.